This record from the Alexandria database describes a relaxed structure of Tb6Sm3Th2. The functional is PBE-GGA.

Unit cell a=3.5888 b=3.5888 c=32.0956 alpha=86.79 beta=86.79 gamma=60.00
Element x y z (fractional)
Th 0.4549 0.4549 0.6352
Tb 0.3639 0.3639 0.9084
Sm 0.0000 0.0000 0.0000
Tb 0.6361 0.6361 0.0916
Th 0.5451 0.5451 0.3648
Tb 0.8176 0.8176 0.5472
Sm 0.2725 0.2725 0.1825
Tb 0.9079 0.9079 0.2762
Tb 0.1824 0.1824 0.4528
Sm 0.7275 0.7275 0.8175
Tb 0.0921 0.0921 0.7238

## Properties
ΔE_f (eV/atom): 0.016